An optimized crystal structure of Cd4Bi. Source: Alexandria via LeMat-Bulk, functional PBE.

Geometry as CIF:
```
data_Cd4Bi
_chemical_formula_sum 'Cd4 Bi1'
_cell_length_a 6.0546
_cell_length_b 6.0546
_cell_length_c 6.0546
_cell_angle_alpha 90.00
_cell_angle_beta 90.00
_cell_angle_gamma 90.00
_space_group_name_H-M_alt 'P m -3 m'
_space_group_IT_number 221
_space_group_name_Hall '-P 4 2 3'
loop_
_atom_site_label
_atom_site_fract_x
_atom_site_fract_y
_atom_site_fract_z
Cd1 0.0000 0.0000 0.0000
Cd2 0.0000 0.5000 0.5000
Bi1 0.5000 0.5000 0.5000
```

## Properties
Uncorrected energy = -5.71 eV per cell
Volume = 44.4 Å³ per atom
Energy above the lowest structure with this stoichiometry = 263.6 meV per atom
Formation enthalpy at 0 K = 0.3659 eV per atom

An optimized crystal structure of Cd8Bi. Source: Alexandria via LeMat-Bulk, functional PBE.

Geometry as CIF:
```
data_Cd8Bi
_chemical_formula_sum 'Cd16 Bi2'
_cell_length_a 9.7094
_cell_length_b 9.7094
_cell_length_c 4.5812
_cell_angle_alpha 90.00
_cell_angle_beta 90.00
_cell_angle_gamma 90.00
_space_group_name_H-M_alt 'I 4/m m m'
_space_group_IT_number 139
_space_group_name_Hall '-I 4 2'
loop_
_atom_site_label
_atom_site_fract_x
_atom_site_fract_y
_atom_site_fract_z
Cd1 0.0000 0.3394 0.0000
Cd2 0.1739 0.1739 0.5000
Bi1 0.0000 0.0000 0.0000
```

## Properties
Uncorrected energy = -21.87 eV per cell
Volume = 24.0 Å³ per atom
Formation enthalpy at 0 K = 0.0299 eV per atom

An optimized crystal structure of Cd3Bi. Source: Alexandria via LeMat-Bulk, functional PBE.

Geometry as CIF:
```
data_Cd3Bi
_chemical_formula_sum 'Cd12 Bi4'
_cell_length_a 7.2498
_cell_length_b 10.0123
_cell_length_c 5.9176
_cell_angle_alpha 90.00
_cell_angle_beta 90.00
_cell_angle_gamma 90.00
_space_group_name_H-M_alt 'C m c m'
_space_group_IT_number 63
_space_group_name_Hall '-C 2c 2'
loop_
_atom_site_label
_atom_site_fract_x
_atom_site_fract_y
_atom_site_fract_z
Cd1 0.0000 0.2061 0.2500
Cd2 0.2215 0.0587 0.7500
Bi1 0.0000 0.3216 0.7500
```

## Properties
Uncorrected energy = -25.37 eV per cell
Volume = 26.8 Å³ per atom
Formation enthalpy at 0 K = 0.0706 eV per atom